DFT (PBE) results for a geometry-optimized HfNb2F structure.

Properties
Crystal system: tetragonal
Space-group type: No. 122
Uncorrected formation energy (kJ/mol of formula units): 147
Density of states at the Fermi level (states/eV per atom): 1.255
M_tot (μB per atom): 0.00

a b c (Å): 7.376 7.376 7.376
angles (deg): 139.14 139.14 59.17
Fractional positions:
1 Hf 0.000 0.000 0.000
2 Hf 0.750 0.250 0.500
3 Nb 0.315 0.625 0.190
4 Nb 0.375 0.565 0.690
5 Nb 0.435 0.125 0.810
6 Nb 0.875 0.685 0.310
7 F 0.250 0.750 0.500
8 F 0.500 0.500 0.000


DFT (PBE) results for a geometry-optimized TaVMo2 structure.

Properties
Crystal system: orthorhombic
Energy of formation (eV per atom): 0.69
Space-group type: No. 71
Density of states at the Fermi level (states/eV per atom): 1.213
M_tot (μB per atom): 0.00

a b c (Å): 5.808 5.808 5.808
angles (deg): 150.49 135.04 54.70
Fractional positions:
1 Ta 0.000 0.000 0.000
2 V 0.500 0.500 0.000
3 Mo 0.261 0.261 0.000
4 Mo 0.739 0.739 0.000


DFT (PBE) results for a geometry-optimized LiRhSe2Br structure.

Properties
Crystal system: tetragonal
Space-group type: No. 123
Uncorrected formation energy (kJ/mol of formula units): 315
Density of states at the Fermi level (states/eV per atom): 1.028
M_tot (μB per atom): 0.08

a b c (Å): 5.386 5.386 4.604
angles (deg): 90.00 90.00 90.00
Fractional positions:
1 Li 0.000 0.000 0.000
2 Rh 0.500 0.500 0.000
3 Se 0.000 0.500 0.500
4 Se 0.500 0.000 0.500
5 Br 0.500 0.500 0.500


DFT (PBE) results for a geometry-optimized YSbAsSe2 structure.

Properties
Crystal system: tetragonal
Space-group type: No. 123
Uncorrected formation energy (kJ/mol of formula units): 13
Density of states at the Fermi level (states/eV per atom): 1.079
M_tot (μB per atom): 0.00

a b c (Å): 5.360 5.360 5.520
angles (deg): 90.00 90.00 90.00
Fractional positions:
1 Y 0.000 0.000 0.000
2 Sb 0.500 0.500 0.500
3 As 0.000 0.000 0.500
4 Se 0.000 0.500 0.000
5 Se 0.500 0.000 0.000


Which value of M_tot does entry 1 give? 0.00 μB per atom


Which value of density of states at the Fermi level does entry 4 give? 1.079 states/eV per atom